Record 1
# Na3NpBi2S6, optimized geometry, DFT PBE
# Energy, eV/f.u.: -60.651
# E_form (uncorrected), meV/atom: -936
# Total magnetic moment, μB per formula unit: 4.0
# Symmetry: C2/m, No. 12
# Volume, Å³/atom: 24.299
data_Na3NpBi2S6
_chemical_formula_sum 'Na3 Np1 Bi2 S6'
_cell_length_a 7.066
_cell_length_b 7.066
_cell_length_c 7.142
_cell_angle_alpha 99.48
_cell_angle_beta 99.48
_cell_angle_gamma 120.01
_symmetry_space_group_name_H-M 'P 1'
_symmetry_Int_Tables_number 1
_symmetry_space_group_name_Hall 'P 1'
loop_
_atom_site_label
_atom_site_fract_x
_atom_site_fract_y
_atom_site_fract_z
S1 0.751 0.751 0.235
S2 0.405 0.078 0.234
S3 0.922 0.595 0.766
S4 0.249 0.249 0.765
S5 0.078 0.405 0.234
S6 0.595 0.922 0.766
Bi1 0.334 0.666 0.000
Bi2 0.666 0.334 0.000
Na1 0.500 0.500 0.500
Na2 0.829 0.171 0.500
Na3 0.171 0.829 0.500
Np1 0.000 0.000 0.000

***

Record 2
# LaAg2Hg2, optimized geometry, DFT PBE
# Energy, eV/f.u.: -12.552
# Total magnetic moment, μB per formula unit: 0.0
# Symmetry: P-1, No. 2
# Volume, Å³/atom: 23.784
data_LaAg2Hg2
_chemical_formula_sum 'La2 Ag4 Hg4'
_cell_length_a 5.406
_cell_length_b 5.349
_cell_length_c 8.715
_cell_angle_alpha 78.54
_cell_angle_beta 76.66
_cell_angle_gamma 79.51
_symmetry_space_group_name_H-M 'P 1'
_symmetry_Int_Tables_number 1
_symmetry_space_group_name_Hall 'P 1'
loop_
_atom_site_label
_atom_site_fract_x
_atom_site_fract_y
_atom_site_fract_z
Ag1 0.203 0.806 0.505
Ag2 0.633 0.250 0.975
Ag3 0.367 0.750 0.025
Ag4 0.797 0.194 0.495
Hg1 0.645 0.648 0.660
Hg2 0.355 0.352 0.340
Hg3 0.082 0.236 0.120
Hg4 0.918 0.764 0.880
La1 0.228 0.241 0.729
La2 0.772 0.759 0.271

***

Record 3
# CaScTa2, optimized geometry, DFT PBE
# Energy, eV/f.u.: -29.754
# Total magnetic moment, μB per formula unit: 0.0
# Symmetry: I-4m2, No. 119
# Volume, Å³/atom: 21.386
data_CaScTa2
_chemical_formula_sum 'Ca1 Sc1 Ta2'
_cell_length_a 4.949
_cell_length_b 4.949
_cell_length_c 4.949
_cell_angle_alpha 120.13
_cell_angle_beta 120.13
_cell_angle_gamma 89.78
_symmetry_space_group_name_H-M 'P 1'
_symmetry_Int_Tables_number 1
_symmetry_space_group_name_Hall 'P 1'
loop_
_atom_site_label
_atom_site_fract_x
_atom_site_fract_y
_atom_site_fract_z
Ca1 0.500 0.500 0.000
Ta1 0.000 0.000 0.000
Ta2 0.250 0.750 0.500
Sc1 0.750 0.250 0.500

***

Which value of volume does entry 2 give? 23.784 Å³/atom